[1]
Here is LaWSe2 after structural relaxation from Alexandria. Energies are from PBE.

Summary:
**Excess energy over the best structure of this formula in the dataset**: 406.3 meV/atom
**V**: 92 Å³ per cell
**D(E_F)**: 3.76 states/eV per cell
**Uncorrected energy**: -25.754 eV/cell

a b c (Å): 9.8293 9.8293 9.8293
angles (deg): 19.47 19.47 19.47
Closest atoms and distances in Å follow each position.
Element x y z (fractional)
La (0.0000, 0.0000, 0.0000)  2 Se 3.08, 6 La 3.32
W (0.5000, 0.5000, 0.5000)  6 Se 2.59
Se (0.1067, 0.1067, 0.1067)  3 W 2.59
Se (0.8933, 0.8933, 0.8933)  3 W 2.59

[2]
Here is LaW2Se after structural relaxation from Alexandria. Energies are from PBE.

Summary:
**Excess energy over the best structure of this formula in the dataset**: 784.5 meV/atom
**V**: 79 Å³ per cell
**D(E_F)**: 3.73 states/eV per cell
**Uncorrected energy**: -30.903 eV/cell

a b c (Å): 3.0630 3.0630 9.0733
angles (deg): 90.00 90.00 112.68
Closest atoms and distances in Å follow each position.
Element x y z (fractional)
La (0.0000, 0.0000, 0.0000)  6 La 3.06-3.40, 4 W 3.11
W (0.5000, 0.5000, 0.2869)  2 Se 2.57
W (0.5000, 0.5000, 0.7131)  2 Se 2.57
Se (0.0000, 0.0000, 0.5000)  4 W 2.57

[3]
Here is LaW2Se after structural relaxation from Alexandria. Energies are from PBE.

Summary:
**Excess energy over the best structure of this formula in the dataset**: 387.1 meV/atom
**V**: 88 Å³ per cell
**D(E_F)**: 4.33 states/eV per cell
**Uncorrected energy**: -32.493 eV/cell

a b c (Å): 5.5947 5.5947 5.5947
angles (deg): 143.72 120.37 71.84
Closest atoms and distances in Å follow each position.
Element x y z (fractional)
La (0.0000, 0.0000, 0.0000)  2 Se 3.03, 8 W 3.27-3.29
W (0.4935, 0.4935, 0.0000)  2 W 2.52, 2 Se 2.65
W (0.6941, 0.1941, 0.5000)  2 W 2.52
Se (0.2732, 0.7732, 0.5000)  2 W 2.65

[4]
Here is LaW2Se after structural relaxation from Alexandria. Energies are from PBE.

Summary:
**Excess energy over the best structure of this formula in the dataset**: 2.1 meV/atom
**V**: 82 Å³ per cell
**D(E_F)**: 5.15 states/eV per cell
**Uncorrected energy**: -34.033 eV/cell

a b c (Å): 3.3346 3.3346 7.3743
angles (deg): 90.00 90.00 90.00
Closest atoms and distances in Å follow each position.
Element x y z (fractional)
La (0.0000, 0.0000, 0.0000)  5 W 3.24-3.53, 4 Se 3.27, 4 La 3.33
W (0.0000, 0.0000, 0.5214)  4 W 2.70, 4 Se 2.84
W (0.5000, 0.5000, 0.6993)  4 W 2.70, 1 Se 2.90
Se (0.5000, 0.5000, 0.3065)  5 W 2.84-2.90

[5]
Here is LaWSe2 after structural relaxation from Alexandria. Energies are from PBE.

Summary:
**Excess energy over the best structure of this formula in the dataset**: 0.0 meV/atom
**V**: 87 Å³ per cell
**D(E_F)**: 3.33 states/eV per cell
**Uncorrected energy**: -27.379 eV/cell

a b c (Å): 6.0918 6.0918 6.0918
angles (deg): 40.76 40.76 40.76
Closest atoms and distances in Å follow each position.
Element x y z (fractional)
La (0.0000, 0.0000, 0.0000)  6 Se 3.00
W (0.5000, 0.5000, 0.5000)  6 Se 2.67
Se (0.2298, 0.2298, 0.2298)  3 W 2.67
Se (0.7702, 0.7702, 0.7702)  3 W 2.67

[6]
Here is LaW2Se after structural relaxation from Alexandria. Energies are from PBE.

Summary:
**Excess energy over the best structure of this formula in the dataset**: 10.9 meV/atom
**V**: 86 Å³ per cell
**D(E_F)**: 3.16 states/eV per cell
**Uncorrected energy**: -33.998 eV/cell

a b c (Å): 3.3542 4.2784 6.0196
angles (deg): 90.00 90.06 90.00
Closest atoms and distances in Å follow each position.
Element x y z (fractional)
La (0.0000, 0.0000, 0.0000)  4 Se 3.07, 4 W 3.26-3.40, 2 La 3.35
W (0.0012, 0.5000, 0.5612)  2 Se 2.58, 4 W 2.72
W (0.5011, 0.0000, 0.5341)  4 W 2.72, 2 Se 2.79
Se (0.5005, 0.5000, 0.2361)  4 W 2.58-2.79

[7]
Here is LaWSe2 after structural relaxation from Alexandria. Energies are from PBE.

Summary:
**Excess energy over the best structure of this formula in the dataset**: 278.2 meV/atom
**V**: 83 Å³ per cell
**D(E_F)**: 2.82 states/eV per cell
**Uncorrected energy**: -26.266 eV/cell

a b c (Å): 4.8741 4.8741 3.4764
angles (deg): 90.00 90.00 90.00
Closest atoms and distances in Å follow each position.
Element x y z (fractional)
La (0.0000, 0.0000, 0.0000)  8 Se 2.99
W (0.5000, 0.5000, 0.0000)  8 Se 2.99
Se (0.0000, 0.5000, 0.5000)  4 La 2.99, 4 W 2.99
Se (0.5000, 0.0000, 0.5000)  4 La 2.99, 4 W 2.99

[8]
Here is LaWSe2 after structural relaxation from Alexandria. Energies are from PBE.

Summary:
**Excess energy over the best structure of this formula in the dataset**: 280.0 meV/atom
**V**: 88 Å³ per cell
**D(E_F)**: 3.92 states/eV per cell
**Uncorrected energy**: -26.259 eV/cell

a b c (Å): 3.6442 3.6442 6.6404
angles (deg): 90.00 90.00 90.00
Closest atoms and distances in Å follow each position.
Element x y z (fractional)
La (0.0000, 0.0000, 0.0000)  5 Se 2.98-3.16
W (0.5000, 0.5000, 0.6459)  5 Se 2.70-2.79
Se (0.0000, 0.0000, 0.5235)  4 W 2.70
Se (0.5000, 0.5000, 0.2262)  1 W 2.79, 4 La 2.98

[9]
Here is LaWSe2 after structural relaxation from Alexandria. Energies are from PBE.

Summary:
**Excess energy over the best structure of this formula in the dataset**: 95.4 meV/atom
**V**: 94 Å³ per cell
**D(E_F)**: 3.58 states/eV per cell
**Uncorrected energy**: -26.998 eV/cell

a b c (Å): 4.6399 4.6399 6.4400
angles (deg): 104.87 104.87 44.91
Closest atoms and distances in Å follow each position.
Element x y z (fractional)
La (0.0000, 0.0000, 0.0000)  5 Se 3.03-3.09
W (0.2616, 0.2616, 0.5805)  5 Se 2.55-2.60
Se (0.5699, 0.5699, 0.6544)  3 W 2.55
Se (0.7694, 0.7694, 0.2878)  2 W 2.60

[10]
Here is LaWSe2 after structural relaxation from Alexandria. Energies are from PBE.

Summary:
**Excess energy over the best structure of this formula in the dataset**: 160.4 meV/atom
**V**: 92 Å³ per cell
**D(E_F)**: 3.35 states/eV per cell
**Uncorrected energy**: -26.737 eV/cell

a b c (Å): 3.7978 4.8370 5.3618
angles (deg): 90.00 110.23 90.00
Closest atoms and distances in Å follow each position.
Element x y z (fractional)
La (0.0000, 0.0000, 0.0000)  7 Se 2.86-3.19
W (0.3136, 0.5000, 0.6268)  3 Se 2.44-2.70
Se (0.2891, 0.0000, 0.5679)  2 W 2.44
Se (0.5811, 0.5000, 0.1642)  3 W 2.70-3.02

[11]
Here is LaW2Se after structural relaxation from Alexandria. Energies are from PBE.

Summary:
**Excess energy over the best structure of this formula in the dataset**: 0.0 meV/atom
**V**: 89 Å³ per cell
**D(E_F)**: 3.14 states/eV per cell
**Uncorrected energy**: -34.041 eV/cell

a b c (Å): 5.9229 5.9229 5.9229
angles (deg): 43.38 43.38 43.38
Closest atoms and distances in Å follow each position.
Element x y z (fractional)
La (0.0000, 0.0000, 0.0000)  4 Se 3.17-3.45, 4 W 3.24-3.33
W (0.2075, 0.2075, 0.2075)  3 W 2.60, 3 Se 2.90
W (0.5031, 0.5031, 0.5031)  3 W 2.60, 3 Se 2.66
Se (0.7856, 0.7856, 0.7856)  6 W 2.66-2.90